Entry 1:
DFT (PBE) results for AgSbAs2 after structural relaxation.

## Properties
E_form (uncorrected) in eV/atom: 0.340
Volume in Å³/cell: 84.6
Total moment in μB per atom: 0.0000
DOS at the Fermi energy in states/eV per atom: 0.4716

Geometry as CIF:
```
data_AgSbAs2
_cell_length_a 9.8630
_cell_length_b 9.8630
_cell_length_c 9.8630
_cell_angle_alpha 18.53
_cell_angle_beta 18.53
_cell_angle_gamma 18.53
_symmetry_space_group_name_H-M 'P 1'
_symmetry_Int_Tables_number 1
loop_
_symmetry_equiv_pos_as_xyz
'x,y,z'
loop_
_atom_site_label
_atom_site_type_symbol
_atom_site_fract_x
_atom_site_fract_y
_atom_site_fract_z
Sb1 Sb 0.2500 0.2500 0.2500
As1 As 0.0071 0.0071 0.0071
As2 As 0.4929 0.4929 0.4929
Ag1 Ag 0.7500 0.7500 0.7500
```

***

Entry 2:
DFT (PBE) results for AgSbAs2 after structural relaxation.

## Properties
E_form (uncorrected) in eV/atom: 0.332
Volume in Å³/cell: 87.1
Total moment in μB per atom: 0.0000
DOS at the Fermi energy in states/eV per atom: 0.6016

Geometry as CIF:
```
data_AgSbAs2
_cell_length_a 4.8521
_cell_length_b 4.8521
_cell_length_c 3.8496
_cell_angle_alpha 90.00
_cell_angle_beta 90.00
_cell_angle_gamma 73.89
_symmetry_space_group_name_H-M 'P 1'
_symmetry_Int_Tables_number 1
loop_
_symmetry_equiv_pos_as_xyz
'x,y,z'
loop_
_atom_site_label
_atom_site_type_symbol
_atom_site_fract_x
_atom_site_fract_y
_atom_site_fract_z
Sb1 Sb 0.5000 0.0000 0.5000
As1 As 0.0000 0.0000 0.0000
As2 As 0.5000 0.5000 0.0000
Ag1 Ag 0.0000 0.5000 0.5000
```